[1]
The following is a DFT calculation (GGA-PBE) of a relaxed RbAgO3 crystal.

## Properties
total DFT energy (no corrections)	-3.879	eV/atom

abc: 5.5205 5.5205 6.9952
angles: 66.76 66.76 60.00
Fractional positions:
Ag 0.8345 0.8345 0.4965
Ag 0.1655 0.1655 0.5035
O 0.5567 0.1774 0.3206
O 0.1774 0.9453 0.3206
O 0.9453 0.5567 0.3206
O 0.0547 0.4433 0.6794
O 0.8226 0.0547 0.6794
O 0.4433 0.8226 0.6794
Rb 0.6423 0.6423 0.0731
Rb 0.3577 0.3577 0.9269

---

[2]
The following is a DFT calculation (GGA-PBE) of a relaxed ThSnB4 crystal.

## Properties
E above lowest polymorph	0.000	kcal/mol of atoms
size of the total moment	0.00	Bohr magnetons per cell

abc: 5.4368 5.4368 5.4368
angles: 145.26 120.47 70.80
Fractional positions:
B 0.5575 0.2371 0.3204
B 0.0833 0.7629 0.3204
B 0.9167 0.2371 0.6796
B 0.4425 0.7629 0.6796
Sn 0.0000 0.0000 0.0000
Th 0.5000 0.5000 0.0000